# 1
# PBEsol TlCrReTc2, relaxed
# VASP energy = -39.40 eV/f.u.
# crystal system = tetragonal
# calculated volume = 17.6 A^3/atom
data_TlCrReTc2
_cell_length_a 4.285
_cell_length_b 4.285
_cell_length_c 4.796
_cell_angle_alpha 90.00
_cell_angle_beta 90.00
_cell_angle_gamma 90.00
_symmetry_space_group_name_H-M 'P 4/m m m'
_symmetry_Int_Tables_number 123
_symmetry_space_group_name_Hall '-P 4 2'
loop_
_atom_site_label
_atom_site_fract_x
_atom_site_fract_y
_atom_site_fract_z
_atom_site_occupancy
Tl1 0.000 0.000 0.000 1
Cr1 0.000 0.000 0.500 1
Re1 0.500 0.500 0.000 1
Tc1 0.000 0.500 0.500 1

---

# 2
# PBEsol Li2Hg, relaxed
# VASP energy = -5.33 eV/f.u.
# crystal system = tetragonal
# calculated volume = 19.3 A^3/atom
data_Li2Hg
_cell_length_a 6.258
_cell_length_b 6.258
_cell_length_c 5.923
_cell_angle_alpha 90.00
_cell_angle_beta 90.00
_cell_angle_gamma 90.00
_symmetry_space_group_name_H-M 'I 4/m c m'
_symmetry_Int_Tables_number 140
_symmetry_space_group_name_Hall '-I 4 2c'
loop_
_atom_site_label
_atom_site_fract_x
_atom_site_fract_y
_atom_site_fract_z
_atom_site_occupancy
Li1 0.162 0.338 0.000 1
Hg1 0.000 0.000 0.250 1

---

# 3
# PBEsol LiAlCd, relaxed
# VASP energy = -7.53 eV/f.u.
# excess energy over the best structure of this formula in the dataset = 0.016 eV per atom
# crystal system = tetragonal
# calculated volume = 17.8 A^3/atom
data_LiAlCd
_cell_length_a 2.897
_cell_length_b 2.897
_cell_length_c 12.693
_cell_angle_alpha 90.00
_cell_angle_beta 90.00
_cell_angle_gamma 90.00
_symmetry_space_group_name_H-M 'I 4 m m'
_symmetry_Int_Tables_number 107
_symmetry_space_group_name_Hall 'I 4 -2'
loop_
_atom_site_label
_atom_site_fract_x
_atom_site_fract_y
_atom_site_fract_z
_atom_site_occupancy
Li1 0.000 0.000 0.000 1
Al1 0.000 0.000 0.659 1
Cd1 0.000 0.000 0.333 1

---

# 4
# PBEsol Ho3TaO7, relaxed
# VASP energy = -102.40 eV/f.u.
# formation energy without anion corrections = -3478 meV/atom
# crystal system = orthorhombic
# calculated volume = 12.9 A^3/atom
data_Ho3TaO7
_cell_length_a 7.445
_cell_length_b 10.386
_cell_length_c 7.355
_cell_angle_alpha 90.00
_cell_angle_beta 90.00
_cell_angle_gamma 90.00
_symmetry_space_group_name_H-M 'C 2 2 21'
_symmetry_Int_Tables_number 20
_symmetry_space_group_name_Hall 'C 2c 2'
loop_
_atom_site_label
_atom_site_fract_x
_atom_site_fract_y
_atom_site_fract_z
_atom_site_occupancy
Ho1 0.035 0.000 0.000 1
Ho2 0.232 0.268 0.760 1
Ta1 0.001 0.500 0.000 1
O1 0.000 0.129 0.250 1
O2 0.000 0.139 0.750 1
O3 0.000 0.428 0.750 1
O4 0.180 0.371 0.046 1
O5 0.208 0.377 0.476 1

---

# 5
# PBEsol Si2AgTe, relaxed
# VASP energy = -16.55 eV/f.u.
# excess energy over the best structure of this formula in the dataset = 0.122 eV per atom
# formation energy without anion corrections = 446 meV/atom
# crystal system = tetragonal
# calculated volume = 25.2 A^3/atom
data_Si2AgTe
_cell_length_a 5.894
_cell_length_b 5.894
_cell_length_c 11.619
_cell_angle_alpha 90.00
_cell_angle_beta 90.00
_cell_angle_gamma 90.00
_symmetry_space_group_name_H-M 'I -4 2 d'
_symmetry_Int_Tables_number 122
_symmetry_space_group_name_Hall 'I -4 2bw'
loop_
_atom_site_label
_atom_site_fract_x
_atom_site_fract_y
_atom_site_fract_z
_atom_site_occupancy
Si1 0.212 0.250 0.125 1
Ag1 0.000 0.000 0.000 1
Te1 0.000 0.000 0.500 1

---

# 6
# PBEsol Na2BiPd2, relaxed
# VASP energy = -19.74 eV/f.u.
# crystal system = tetragonal
# calculated volume = 22.2 A^3/atom
data_Na2BiPd2
_cell_length_a 6.880
_cell_length_b 6.880
_cell_length_c 4.686
_cell_angle_alpha 90.00
_cell_angle_beta 90.00
_cell_angle_gamma 90.00
_symmetry_space_group_name_H-M 'P 4/m b m'
_symmetry_Int_Tables_number 127
_symmetry_space_group_name_Hall '-P 4 2ab'
loop_
_atom_site_label
_atom_site_fract_x
_atom_site_fract_y
_atom_site_fract_z
_atom_site_occupancy
Na1 0.166 0.334 0.000 1
Bi1 0.000 0.000 0.500 1
Pd1 0.136 0.636 0.500 1